Entry 1:
## Sb2Pd7Pb (PBE)

Data for crystalline Sb2Pd7Pb at its relaxed geometry.

Structure (CIF):
```
data_Sb2Pd7Pb
_space_group_name_H-M_alt 'C m m m'
_space_group_IT_number 65
_space_group_name_Hall '-C 2 2'
_cell_length_a 7.472
_cell_length_b 13.222
_cell_length_c 4.438
_cell_angle_alpha 90.00
_cell_angle_beta 90.00
_cell_angle_gamma 90.00
loop_
_atom_site_label
_atom_site_type_symbol
_atom_site_fract_x
_atom_site_fract_y
_atom_site_fract_z
Sb1 Sb 0.000 0.195 0.000
Pd1 Pd 0.000 0.000 0.000
Pd2 Pd 0.000 0.293 0.500
Pd3 Pd 0.182 0.391 0.000
Pb1 Pb 0.000 0.500 0.500
```

## Properties
The energy above the most stable polymorph in this dataset is 0.259 eV/atom. Its uncorrected formation energy is -0.091 eV/atom. The value obtained for the calculated density is 9.06 Mg/m³.

---

Entry 2:
## Pm4PdRh3 (PBE)

Data for crystalline Pm4PdRh3 at its relaxed geometry.

Structure (CIF):
```
data_Pm4PdRh3
_space_group_name_H-M_alt 'P m m 2'
_space_group_IT_number 25
_space_group_name_Hall 'P 2 -2'
_cell_length_a 3.890
_cell_length_b 4.350
_cell_length_c 10.880
_cell_angle_alpha 90.00
_cell_angle_beta 90.00
_cell_angle_gamma 90.00
loop_
_atom_site_label
_atom_site_type_symbol
_atom_site_fract_x
_atom_site_fract_y
_atom_site_fract_z
Pm1 Pm 0.000 0.000 0.000
Pm2 Pm 0.000 0.500 0.273
Pm3 Pm 0.500 0.000 0.489
Pm4 Pm 0.500 0.500 0.774
Pd1 Pd 0.000 0.000 0.717
Rh1 Rh 0.000 0.500 0.547
Rh2 Rh 0.500 0.000 0.220
Rh3 Rh 0.500 0.500 0.042
```

## Properties
The value obtained for the energy relative to the elements is -6.00 eV/f.u. The value obtained for the calculated density is 8.98 Mg/m³.

---

Entry 3:
## NaAgB2Ru (PBE)

Data for crystalline NaAgB2Ru at its relaxed geometry.

Structure (CIF):
```
data_NaAgB2Ru
_space_group_name_H-M_alt 'P 4/m m m'
_space_group_IT_number 123
_space_group_name_Hall '-P 4 2'
_cell_length_a 4.111
_cell_length_b 4.111
_cell_length_c 5.203
_cell_angle_alpha 90.00
_cell_angle_beta 90.00
_cell_angle_gamma 90.00
loop_
_atom_site_label
_atom_site_type_symbol
_atom_site_fract_x
_atom_site_fract_y
_atom_site_fract_z
Na1 Na 0.000 0.000 0.000
Ag1 Ag 0.500 0.500 0.500
B1 B 0.000 0.500 0.500
Ru1 Ru 0.500 0.500 0.000
```

## Properties
The value obtained for the energy relative to the elements is 9.14 eV/f.u. The value obtained for the calculated density is 4.79 Mg/m³.

---

Entry 4:
## CsBa3Si (PBE)

Data for crystalline CsBa3Si at its relaxed geometry.

Structure (CIF):
```
data_CsBa3Si
_space_group_name_H-M_alt 'P m -3 m'
_space_group_IT_number 221
_space_group_name_Hall '-P 4 2 3'
_cell_length_a 6.326
_cell_length_b 6.326
_cell_length_c 6.326
_cell_angle_alpha 90.00
_cell_angle_beta 90.00
_cell_angle_gamma 90.00
loop_
_atom_site_label
_atom_site_type_symbol
_atom_site_fract_x
_atom_site_fract_y
_atom_site_fract_z
Cs1 Cs 0.000 0.000 0.000
Ba1 Ba 0.000 0.000 0.500
Si1 Si 0.500 0.500 0.500
```

## Properties
The energy above the most stable polymorph in this dataset is 1.045 eV/atom. Its uncorrected formation energy is 1.016 eV/atom. The value obtained for the calculated density is 3.76 Mg/m³.